4
Lattice="3.658 0.000 0.000 1.829 3.168 0.000 1.829 1.056 6.494" Properties=species:S:1:pos:R:3 comment="DyHoSeN | Alexandria | PBE | optimized geometry" e_form_raw_ev_per_atom=-1.7137 crystal_system=trigonal total_magnetization_mub_per_atom=0.000 pbc="T T T"
N 1.829 1.056 1.608
Dy 3.658 2.112 2.914
Ho 5.487 3.168 0.337
Se 5.487 3.168 4.881